No. 1
{"formula": "MgVAu2", "functional": "PBE-GGA", "state": "relaxed", "sg": "P4/mmm", "final_energy_ev_per_atom": -4.518, "formation_energy_mev_per_atom": -201, "lattice_angstrom": [[2.970, 0.000, 0.000], [0.000, 2.970, 0.000], [0.000, 0.000, 7.598]], "species": ["Mg", "V", "Au", "Au"], "fractional_positions": [[0.000, 0.000, 0.000], [0.000, 0.000, 0.500], [0.500, 0.500, 0.259], [0.500, 0.500, 0.741]]}

=====

No. 2
{"formula": "MgVAu", "functional": "PBE-GGA", "state": "relaxed", "sg": "P-1", "final_energy_ev_per_atom": -4.799, "formation_energy_mev_per_atom": -135, "lattice_angstrom": [[3.055, 0.000, 0.000], [0.024, 4.448, 0.000], [1.507, 0.812, 7.428]], "species": ["Mg", "Mg", "V", "V", "Au", "Au"], "fractional_positions": [[0.071, 0.269, 0.361], [0.929, 0.731, 0.639], [0.253, 0.708, 0.992], [0.747, 0.292, 0.008], [0.393, 0.220, 0.712], [0.607, 0.780, 0.288]]}

=====

No. 3
{"formula": "MgVAu", "functional": "PBE-GGA", "state": "relaxed", "sg": "P4mm", "final_energy_ev_per_atom": -4.859, "formation_energy_mev_per_atom": -196, "lattice_angstrom": [[3.204, 0.000, 0.000], [0.000, 3.204, 0.000], [0.000, 0.000, 9.777]], "species": ["Mg", "Mg", "V", "V", "Au", "Au"], "fractional_positions": [[0.000, 0.000, 0.000], [0.000, 0.000, 0.347], [0.000, 0.000, 0.703], [0.500, 0.500, 0.810], [0.500, 0.500, 0.167], [0.500, 0.500, 0.521]]}

=====

No. 4
{"formula": "MgW2Au", "functional": "PBE-GGA", "state": "relaxed", "sg": "I4/mmm", "final_energy_ev_per_atom": -7.438, "formation_energy_mev_per_atom": 256, "lattice_angstrom": [[-1.910, 1.910, 4.535], [1.910, -1.910, 4.535], [1.910, 1.910, -4.535]], "species": ["Mg", "W", "W", "Au"], "fractional_positions": [[0.000, 0.000, 0.000], [0.250, 0.750, 0.500], [0.750, 0.250, 0.500], [0.500, 0.500, 0.000]]}

=====

No. 5
{"formula": "MgWAu2", "functional": "PBE-GGA", "state": "relaxed", "sg": "R-3m", "final_energy_ev_per_atom": -5.155, "formation_energy_mev_per_atom": 121, "lattice_angstrom": [[1.458, 0.842, 9.386], [-1.458, 0.842, 9.386], [0.000, -1.683, 9.386]], "species": ["Mg", "W", "Au", "Au"], "fractional_positions": [[0.000, 0.000, 0.000], [0.500, 0.500, 0.500], [0.251, 0.251, 0.251], [0.749, 0.749, 0.749]]}

=====

No. 6
{"formula": "MgW2Au", "functional": "PBE-GGA", "state": "relaxed", "sg": "I-42d", "final_energy_ev_per_atom": -7.042, "formation_energy_mev_per_atom": 652, "lattice_angstrom": [[-1.873, 1.873, 10.300], [1.873, -1.873, 10.300], [1.873, 1.873, -10.300]], "species": ["Mg", "Mg", "W", "W", "W", "W", "Au", "Au"], "fractional_positions": [[0.000, 0.000, 0.000], [0.750, 0.250, 0.500], [0.120, 0.625, 0.995], [0.375, 0.370, 0.495], [0.630, 0.125, 0.005], [0.875, 0.880, 0.505], [0.250, 0.750, 0.500], [0.500, 0.500, 0.000]]}

=====

No. 7
{"formula": "MgW2Au", "functional": "PBE-GGA", "state": "relaxed", "sg": "C2/m", "final_energy_ev_per_atom": -7.412, "formation_energy_mev_per_atom": 283, "lattice_angstrom": [[5.045, -1.497, 0.000], [5.045, 1.497, 0.000], [-0.960, 0.000, 4.471]], "species": ["Mg", "W", "W", "Au"], "fractional_positions": [[0.000, 0.000, 0.000], [0.243, 0.243, 0.746], [0.757, 0.757, 0.254], [0.500, 0.500, 0.500]]}

=====

No. 8
{"formula": "MgW2Au", "functional": "PBE-GGA", "state": "relaxed", "sg": "P4mm", "final_energy_ev_per_atom": -7.484, "formation_energy_mev_per_atom": 210, "lattice_angstrom": [[3.321, 0.000, 0.000], [0.000, 3.321, 0.000], [0.000, 0.000, 6.257]], "species": ["Mg", "W", "W", "Au"], "fractional_positions": [[0.000, 0.000, 0.000], [0.000, 0.000, 0.476], [0.500, 0.500, 0.286], [0.500, 0.500, 0.778]]}

=====

No. 9
{"formula": "Mg3WAu", "functional": "PBE-GGA", "state": "relaxed", "sg": "Pm-3m", "final_energy_ev_per_atom": -2.844, "polymorph_energy_mev_per_atom": 445, "formation_energy_mev_per_atom": 1359, "lattice_angstrom": [[5.267, 0.000, 0.000], [0.000, 5.267, 0.000], [0.000, 0.000, 5.267]], "species": ["Mg", "Mg", "Mg", "W", "Au"], "fractional_positions": [[0.000, 0.000, 0.500], [0.000, 0.500, 0.000], [0.500, 0.000, 0.000], [0.000, 0.000, 0.000], [0.500, 0.500, 0.500]]}

=====

No. 10
{"formula": "Mg2WAu", "functional": "PBE-GGA", "state": "relaxed", "sg": "I-4m2", "final_energy_ev_per_atom": -4.464, "polymorph_energy_mev_per_atom": 371, "formation_energy_mev_per_atom": 391, "lattice_angstrom": [[-2.034, 2.034, 4.241], [2.034, -2.034, 4.241], [2.034, 2.034, -4.241]], "species": ["Mg", "Mg", "W", "Au"], "fractional_positions": [[0.000, 0.000, 0.000], [0.750, 0.250, 0.500], [0.250, 0.750, 0.500], [0.500, 0.500, 0.000]]}

=====

No. 11
{"formula": "Mg2WAu", "functional": "PBE-GGA", "state": "relaxed", "sg": "Cmmm", "final_energy_ev_per_atom": -4.673, "polymorph_energy_mev_per_atom": 162, "formation_energy_mev_per_atom": 182, "lattice_angstrom": [[2.969, -4.347, 0.000], [2.969, 4.347, 0.000], [0.000, 0.000, 2.737]], "species": ["Mg", "Mg", "W", "Au"], "fractional_positions": [[0.000, 0.500, 0.000], [0.500, 0.000, 0.000], [0.000, 0.000, 0.500], [0.500, 0.500, 0.500]]}

=====

No. 12
{"formula": "MgWAu2", "functional": "PBE-GGA", "state": "relaxed", "sg": "Cmmm", "final_energy_ev_per_atom": -5.170, "formation_energy_mev_per_atom": 106, "lattice_angstrom": [[3.096, -4.001, 0.000], [3.096, 4.001, 0.000], [0.000, 0.000, 2.784]], "species": ["Mg", "W", "Au", "Au"], "fractional_positions": [[0.000, 0.000, 0.000], [0.500, 0.500, 0.000], [0.000, 0.500, 0.500], [0.500, 0.000, 0.500]]}

=====

No. 13
{"formula": "MgWAu2", "functional": "PBE-GGA", "state": "relaxed", "sg": "Cm", "final_energy_ev_per_atom": -5.103, "formation_energy_mev_per_atom": 172, "lattice_angstrom": [[4.836, -1.423, 0.000], [4.836, 1.423, 0.000], [-0.845, 0.000, 5.031]], "species": ["Mg", "W", "Au", "Au"], "fractional_positions": [[0.000, 0.000, 0.000], [0.753, 0.753, 0.310], [0.252, 0.252, 0.810], [0.499, 0.499, 0.492]]}

=====

No. 14
{"formula": "Mg2WAu", "functional": "PBE-GGA", "state": "relaxed", "sg": "Cm", "final_energy_ev_per_atom": -4.598, "polymorph_energy_mev_per_atom": 237, "formation_energy_mev_per_atom": 257, "lattice_angstrom": [[5.037, -1.402, 0.000], [5.037, 1.402, 0.000], [-1.008, 0.000, 5.074]], "species": ["Mg", "Mg", "W", "Au"], "fractional_positions": [[0.000, 0.000, 0.000], [0.234, 0.234, 0.755], [0.754, 0.754, 0.264], [0.498, 0.498, 0.476]]}